Entry 1:
# CoAgCl2

An optimized crystal structure of CoAgCl2 (PBEsol, the Alexandria database).

Cell lengths 3.171, 3.317, 7.707 Å; angles 90.00, 90.00, 118.56 degrees
Each line ends with the local moment (μB).
Atoms (fractional coordinates):
Cl 0.000 0.000 0.715  0.06
Cl 0.000 0.000 0.285  0.06
Co 0.500 0.000 0.500  1.92
Ag 0.500 0.000 0.000  0.00

Calculated values
formation energy (no corrections) = 38.1 meV per atom

Entry 2:
# LaY2TaB

An optimized crystal structure of LaY2TaB (PBEsol, the Alexandria database).

Cell lengths 4.862, 5.382, 5.382 Å; angles 90.00, 90.00, 90.00 degrees
Atoms (fractional coordinates):
La 0.000 0.000 0.000
B 0.500 0.500 0.500
Ta 0.500 0.000 0.000
Y 0.000 0.000 0.500
Y 0.000 0.500 0.000

Calculated values
calculated formation energy = 2167 meV/atom

Entry 3:
# KHfInAu2

An optimized crystal structure of KHfInAu2 (PBEsol, the Alexandria database).

Cell lengths 5.057, 5.057, 5.336 Å; angles 90.00, 90.00, 90.00 degrees
Atoms (fractional coordinates):
Hf 0.500 0.500 0.500
Au 0.000 0.500 0.000
Au 0.500 0.000 0.000
In 0.000 0.000 0.000
K 0.000 0.000 0.500

Calculated values
calculated formation energy = 1078 meV/atom

Number 1: VASP energy -14.91 eV per cell, volume 17.804 A^3/atom. Number 2: VASP energy -27.72 eV per cell, volume 28.169 A^3/atom. Number 3: VASP energy -17.08 eV per cell, volume 27.291 A^3/atom.